A plane-wave DFT calculation with GGA-PBE was carried out for Mg3Fe after structural relaxation.

extended XYZ file:
```
4
Lattice="2.936 -4.293 0.000 2.936 4.293 0.000 0.000 0.000 2.932" Properties=species:S:1:pos:R:3 pbc="T T T"
Mg 0.000 0.000 0.000
Mg 1.468 2.147 1.466
Mg 1.468 -2.147 1.466
Fe 2.936 0.000 0.000
```

uncorrected energy	-3.073	eV/atom
density	2.9	g/cm³
SG	Cmmm
formation energy	0.24	eV per atom
crystal system	orthorhombic